[1]
DFT (PBE-GGA) results for a relaxed NpZnCdGe crystal.

Properties
Energy of formation from the pure elements = 0.069 eV/atom
Final energy = -4.87 eV/atom
SG = F-43m, No. 216
DOS at the Fermi energy = 2.096 states/eV per atom

```
NpZnCdGe
1.0
4.8838 0.0000 0.0000
2.4419 4.2295 0.0000
2.4419 1.4098 3.9876
Zn Ge Np Cd
1 1 1 1
direct
0.5000 0.5000 0.5000 Zn
0.0000 0.0000 0.0000 Ge
0.2500 0.2500 0.2500 Np
0.7500 0.7500 0.7500 Cd
```

[2]
DFT (PBE-GGA) results for a relaxed CdGeO2 crystal.

Properties
Energy above the lowest structure with this stoichiometry = 0 meV per atom
Final energy = -4.95 eV/atom
SG = R-3m, No. 166
DOS at the Fermi energy = 0.101 states/eV per atom
Uncorrected formation energy = -1.0835 eV/atom

```
CdGeO2
1.0
2.9979 -7.0365 1.5069
4.8112 -6.1041 -0.6026
5.2720 -5.3110 2.1841
O Ge Cd
2 1 1
direct
0.8763 0.8763 0.8763 O
0.1237 0.1237 0.1237 O
0.5000 0.5000 0.5000 Ge
0.0000 0.0000 0.0000 Cd
```

[3]
DFT (PBE-GGA) results for a relaxed Cd3Ge5O12 crystal.

Properties
Final energy = -5.62 eV/atom
SG = Ia-3d, No. 230
DOS at the Fermi energy = 0.236 states/eV per atom
Uncorrected formation energy = -1.3574 eV/atom

```
Cd3Ge5O12
1.0
-1.8465 -5.2754 -9.3355
1.1926 -7.2070 8.0639
-8.4140 6.5402 2.1958
O Cd Ge
48 12 20
direct
0.6188 0.0167 0.1976 O
0.6188 0.6021 0.9212 O
0.1810 0.0788 0.6976 O
0.8190 0.8979 0.0167 O
0.8190 0.9212 0.3024 O
0.6810 0.1976 0.5788 O
0.9833 0.3812 0.3024 O
0.1188 0.6976 0.5167 O
0.4833 0.8024 0.8812 O
0.3979 0.0167 0.3190 O
0.9212 0.8190 0.8024 O
0.0167 0.6188 0.6976 O
0.8024 0.4833 0.3812 O
0.1188 0.4212 0.1021 O
0.6021 0.6188 0.4212 O
0.3024 0.4212 0.8190 O
0.3190 0.8024 0.4212 O
0.8979 0.0788 0.8812 O
0.5167 0.1976 0.1188 O
0.5788 0.6976 0.6810 O
0.1021 0.1810 0.4833 O
0.8812 0.5788 0.8979 O
0.0788 0.1810 0.1976 O
0.3024 0.8812 0.9833 O
0.4833 0.6810 0.1021 O
0.1810 0.1021 0.9833 O
0.6810 0.4833 0.6021 O
0.8024 0.3190 0.9212 O
0.1021 0.9212 0.1188 O
0.5167 0.3190 0.8979 O
0.4212 0.1188 0.6021 O
0.1976 0.6810 0.0788 O
0.4212 0.3024 0.3190 O
0.6976 0.5788 0.1810 O
0.9833 0.6021 0.1810 O
0.5788 0.8812 0.3979 O
0.6976 0.1188 0.0167 O
0.3979 0.3812 0.5788 O
0.8979 0.8190 0.5167 O
0.0788 0.8979 0.3812 O
0.3812 0.9833 0.8024 O
0.8812 0.3024 0.4833 O
0.6021 0.9833 0.6810 O
0.1976 0.5167 0.6188 O
0.9212 0.1021 0.6188 O
0.3812 0.3979 0.0788 O
0.3190 0.5167 0.3979 O
0.0167 0.3979 0.8190 O
0.6250 0.3750 0.7500 Cd
0.2500 0.6250 0.8750 Cd
0.8750 0.7500 0.1250 Cd
0.1250 0.8750 0.7500 Cd
0.1250 0.2500 0.8750 Cd
0.3750 0.7500 0.6250 Cd
0.8750 0.1250 0.2500 Cd
0.7500 0.8750 0.6250 Cd
0.3750 0.6250 0.2500 Cd
0.6250 0.2500 0.3750 Cd
0.2500 0.1250 0.3750 Cd
0.7500 0.3750 0.1250 Cd
0.7500 0.1250 0.8750 Ge
0.0000 0.0000 0.0000 Ge
0.5000 0.5000 0.5000 Ge
0.8750 0.6250 0.7500 Ge
0.0000 0.5000 0.5000 Ge
0.7500 0.6250 0.3750 Ge
0.2500 0.8750 0.1250 Ge
0.3750 0.2500 0.1250 Ge
0.8750 0.2500 0.6250 Ge
0.2500 0.3750 0.6250 Ge
0.6250 0.8750 0.2500 Ge
0.5000 0.0000 0.5000 Ge
0.5000 0.0000 0.0000 Ge
0.6250 0.7500 0.8750 Ge
0.1250 0.7500 0.3750 Ge
0.5000 0.5000 0.0000 Ge
0.1250 0.3750 0.2500 Ge
0.0000 0.0000 0.5000 Ge
0.3750 0.1250 0.7500 Ge
0.0000 0.5000 0.0000 Ge
```